Material: Li2Mn3OF6
Method: DFT, PBE+U
State: relaxed

Structure (CIF):
```
data_Li2Mn3OF6
_cell_length_a 6.124
_cell_length_b 6.719
_cell_length_c 8.278
_cell_angle_alpha 68.35
_cell_angle_beta 71.60
_cell_angle_gamma 83.08
_space_group_name_H-M_alt 'P -1'
_space_group_IT_number 2
_space_group_name_Hall '-P 1'
loop_
_atom_site_label
_atom_site_fract_x
_atom_site_fract_y
_atom_site_fract_z
Li1 0.108 0.321 0.060
Li2 0.305 0.861 0.483
Mn1 0.086 0.174 0.773
Mn2 0.232 0.433 0.341
Mn3 0.366 0.746 0.933
O1 0.079 0.585 0.133
F1 0.093 0.705 0.441
F2 0.170 0.869 0.733
F3 0.224 0.030 0.002
F4 0.328 0.141 0.279
F5 0.391 0.275 0.550
F6 0.443 0.439 0.872
```

Summary:
polymorph energy (0 for the lowest one) = 0.000 eV per atom
theoretical density = 3.413 g/cm3
density of states at the Fermi level = 0.0 states/eV/f.u.